No. 1
! GGA+U CoPdN2O, optimized geometry; values from VASP
&SYSTEM
  ibrav = 0, nat = 5, ntyp = 4
/
ATOMIC_SPECIES
Co 58.93 Co.upf
O 16.00 O.upf
Pd 106.42 Pd.upf
N 14.01 N.upf
CELL_PARAMETERS angstrom
3.616 0.000 0.000
0.000 3.616 0.000
0.000 0.000 3.813
ATOMIC_POSITIONS angstrom
Co 0.000 0.000 0.000
O 0.000 0.000 1.906
Pd 1.808 1.808 1.906
N 0.000 1.808 0.000
N 1.808 0.000 0.000
! Total magnetization in μB/atom: 0.000
! N(E_F) in states/eV/atom: 1.1754
! Raw total energy in eV for the cell shown: -25.843

***

No. 2
! GGA+U TlNiN2F, optimized geometry; values from VASP
&SYSTEM
  ibrav = 0, nat = 5, ntyp = 4
/
ATOMIC_SPECIES
Ni 58.69 Ni.upf
Tl 204.38 Tl.upf
N 14.01 N.upf
F 19.00 F.upf
CELL_PARAMETERS angstrom
-0.248 2.348 -3.535
-4.207 0.332 0.516
0.584 3.673 2.399
ATOMIC_POSITIONS angstrom
Ni -1.935 3.177 -0.310
Tl 0.000 0.000 0.000
N -2.103 0.166 0.258
N -0.124 1.174 -1.768
F 0.292 1.837 1.200
! Total magnetization in μB/atom: 0.374
! N(E_F) in states/eV/atom: 0.8758
! Energy above the lowest structure with this stoichiometry in eV/f.u.: 4.519